Entry 1:
NpTcHg | PBE | relaxed

Unit cell a=4.6148 b=4.6148 c=4.6148 alpha=60.00 beta=60.00 gamma=60.00
Closest atoms and distances in Å follow each position.
Element x y z (fractional)
Hg 0.0000 0.0000 0.0000  4 Np 2.83
Np 0.7500 0.7500 0.7500  4 Hg 2.83, 4 Tc 2.83
Tc 0.5000 0.5000 0.5000  4 Np 2.83

Output
Energy of formation from the pure elements, eV per atom: 1.047
Offset from the most stable computed form, meV/atom: 0
Mass density, g/cm3: 12.8

=====

Entry 2:
NpTcHg | PBE | relaxed

Unit cell a=4.6457 b=4.6457 c=4.6457 alpha=60.00 beta=60.00 gamma=60.00
Closest atoms and distances in Å follow each position.
Element x y z (fractional)
Hg 0.0000 0.0000 0.0000  4 Np 2.84, 4 Tc 2.84
Np 0.2500 0.2500 0.2500  4 Hg 2.84
Tc 0.7500 0.7500 0.7500  4 Hg 2.84

Output
Energy of formation from the pure elements, eV per atom: 1.084
Offset from the most stable computed form, meV/atom: 37
Mass density, g/cm3: 12.5

=====

Entry 3:
ThNpHg | PBE | relaxed

Unit cell a=5.1610 b=5.1610 c=5.1610 alpha=60.00 beta=60.00 gamma=60.00
Closest atoms and distances in Å follow each position.
Element x y z (fractional)
Hg 0.0000 0.0000 0.0000  4 Np 3.16, 4 Th 3.16
Np 0.2500 0.2500 0.2500  4 Hg 3.16
Th 0.7500 0.7500 0.7500  4 Hg 3.16

Output
Energy of formation from the pure elements, eV per atom: 0.587
Mass density, g/cm3: 11.4

=====

Entry 4:
TmNpHg | PBE | relaxed

Unit cell a=5.0723 b=5.0723 c=5.0723 alpha=60.00 beta=60.00 gamma=60.00
Closest atoms and distances in Å follow each position.
Element x y z (fractional)
Hg 0.0000 0.0000 0.0000  4 Np 3.11, 4 Tm 3.11
Np 0.2500 0.2500 0.2500  4 Hg 3.11
Tm 0.7500 0.7500 0.7500  4 Hg 3.11

Output
Energy of formation from the pure elements, eV per atom: 0.447
Offset from the most stable computed form, meV/atom: 0
Mass density, g/cm3: 10.9